w:
Here is La4Sm2Y5 after structural relaxation from Alexandria via LeMat-Bulk. Energies are from PBE.

Lattice parameters (Å, degrees): 5.1712 8.1333 9.6323 104.30 105.57 90.00
Closest atoms and distances in Å follow each position.
Fractional coordinates of all 11 atoms:
La 0.7728 0.3646 0.5457  5 La 3.63-3.68, 4 Y 3.64-3.69, 3 Sm 3.65-3.66
La 0.8652 0.8220 0.7304  7 Y 3.61-3.66, 2 Sm 3.66, 3 La 3.67-3.68
La 0.2272 0.6354 0.4543  5 La 3.63-3.68, 4 Y 3.64-3.69, 3 Sm 3.65-3.66
La 0.1348 0.1780 0.2696  7 Y 3.61-3.66, 2 Sm 3.66, 3 La 3.67-3.68
Sm 0.5900 0.4547 0.1799  1 Sm 3.60, 6 Y 3.62-3.65, 5 La 3.65-3.66
Sm 0.4100 0.5453 0.8201  1 Sm 3.60, 6 Y 3.62-3.65, 5 La 3.65-3.66
Y 0.3197 0.0942 0.6393  5 Y 3.62-3.70, 1 Sm 3.62, 6 La 3.64-3.69
Y 0.6803 0.9058 0.3607  5 Y 3.62-3.70, 1 Sm 3.62, 6 La 3.64-3.69
Y 0.9558 0.2765 0.9117  5 Y 3.58-3.66, 3 La 3.61-3.65, 4 Sm 3.62
Y 0.5000 0.0000 0.0000  6 Y 3.62-3.66, 4 La 3.63, 2 Sm 3.65
Y 0.0442 0.7235 0.0883  5 Y 3.58-3.66, 3 La 3.61-3.65, 4 Sm 3.62

Properties
Crystal system: monoclinic

=====

x:
Here is La4Sm2Y5 after structural relaxation from Alexandria via LeMat-Bulk. Energies are from PBE.

Lattice parameters (Å, degrees): 3.5601 11.8951 9.1349 94.44 101.24 90.00
Closest atoms and distances in Å follow each position.
Fractional coordinates of all 11 atoms:
La 0.3593 0.2026 0.7186  6 Y 3.49-3.72, 4 La 3.56-3.68, 2 Sm 3.73
La 0.9621 0.7387 0.9242  5 Y 3.41-3.60, 4 La 3.56-3.68, 2 Sm 3.73
La 0.6407 0.7974 0.2814  6 Y 3.49-3.72, 4 La 3.56-3.68, 2 Sm 3.73
La 0.0379 0.2613 0.0758  5 Y 3.41-3.60, 4 La 3.56-3.68, 2 Sm 3.73
Sm 0.7149 0.3549 0.4298  5 Y 3.50-3.84, 2 Sm 3.56, 4 La 3.73
Sm 0.2851 0.6451 0.5702  5 Y 3.50-3.84, 2 Sm 3.56, 4 La 3.73
Y 0.9033 0.4591 0.8065  4 La 3.41-3.57, 3 Sm 3.50-3.64, 3 Y 3.53-3.56
Y 0.0967 0.5409 0.1935  4 La 3.41-3.57, 3 Sm 3.50-3.64, 3 Y 3.53-3.56
Y 0.8217 0.9298 0.6434  4 La 3.49-3.72, 6 Y 3.56-3.69, 2 Sm 3.84
Y 0.5000 0.0000 0.0000  6 Y 3.56-3.69, 6 La 3.60-3.62
Y 0.1783 0.0702 0.3566  4 La 3.49-3.72, 6 Y 3.56-3.69, 2 Sm 3.84

Properties
Crystal system: monoclinic

=====

Which of them is most stable, and which least? Most stable: w; least stable: x.

=====

w:
Here is La2Sm3Y4 after structural relaxation from Alexandria via LeMat-Bulk. Energies are from PBE.

Lattice parameters (Å, degrees): 3.6011 6.2341 16.0738 62.62 83.57 73.21
Closest atoms and distances in Å follow each position.
Fractional coordinates of all 9 atoms:
La 0.8631 0.7086 0.5652  4 Y 3.53-3.66, 5 La 3.60-3.90, 2 Sm 3.69
La 0.1369 0.2914 0.4348  4 Y 3.53-3.66, 5 La 3.60-3.90, 2 Sm 3.69
Sm 0.0000 0.0000 0.0000  6 Sm 3.57-3.60, 6 Y 3.59-3.61
Sm 0.5708 0.6459 0.2124  6 Y 3.56-3.62, 4 Sm 3.57-3.60, 2 La 3.69
Sm 0.4292 0.3541 0.7876  6 Y 3.56-3.62, 4 Sm 3.57-3.60, 2 La 3.69
Y 0.8527 0.9767 0.3178  4 La 3.53-3.66, 4 Y 3.55-3.60, 3 Sm 3.57-3.60
Y 0.1473 0.0233 0.6822  4 La 3.53-3.66, 4 Y 3.55-3.60, 3 Sm 3.57-3.60
Y 0.7155 0.6760 0.8930  6 Y 3.55-3.60, 6 Sm 3.56-3.62
Y 0.2845 0.3240 0.1070  6 Y 3.55-3.60, 6 Sm 3.56-3.62

Properties
Crystal system: monoclinic

=====

x:
Here is La2Sm3Y4 after structural relaxation from Alexandria via LeMat-Bulk. Energies are from PBE.

Lattice parameters (Å, degrees): 5.1431 8.0983 8.1254 107.42 108.45 90.00
Closest atoms and distances in Å follow each position.
Fractional coordinates of all 9 atoms:
La 0.3339 0.0008 0.6679  5 Sm 3.63-3.65, 5 Y 3.64-3.65, 2 La 3.65
La 0.6661 0.9992 0.3321  5 Sm 3.63-3.65, 5 Y 3.64-3.65, 2 La 3.65
Sm 0.8894 0.3346 0.7788  7 Y 3.60-3.65, 2 Sm 3.61-3.63, 3 La 3.63-3.65
Sm 0.1106 0.6654 0.2212  7 Y 3.60-3.65, 2 Sm 3.61-3.63, 3 La 3.63-3.65
Sm 0.0000 0.0000 0.0000  2 Sm 3.63, 4 La 3.63, 6 Y 3.64-3.65
Y 0.5565 0.3373 0.1129  4 Y 3.59-3.62, 6 Sm 3.60-3.65, 2 La 3.64-3.65
Y 0.7779 0.6634 0.5558  5 Y 3.59-3.62, 4 Sm 3.60-3.65, 3 La 3.65
Y 0.4435 0.6627 0.8871  4 Y 3.59-3.62, 6 Sm 3.60-3.65, 2 La 3.64-3.65
Y 0.2221 0.3366 0.4442  5 Y 3.59-3.62, 4 Sm 3.60-3.65, 3 La 3.65

Properties
Crystal system: monoclinic

=====

Which of them is most stable, and which least? Most stable: x; least stable: w.

=====

w:
Here is LaSm3Y7 after structural relaxation from Alexandria via LeMat-Bulk. Energies are from PBE.

Lattice parameters (Å, degrees): 5.6001 10.0987 8.9492 104.90 128.72 90.02
Closest atoms and distances in Å follow each position.
Fractional coordinates of all 11 atoms:
La 0.5000 0.5000 0.5000  2 Sm 3.49, 10 Y 3.58-3.87
Sm 0.2801 0.9971 0.7806  1 Sm 3.05, 2 Y 3.36-3.38
Sm 0.0000 0.5000 0.0000  2 La 3.49, 10 Y 3.53-3.89
Sm 0.7199 0.0029 0.2194  1 Sm 3.05, 2 Y 3.36-3.38
Y 0.9233 0.8305 0.9234  3 Y 3.23-3.34, 5 Sm 3.55-3.58
Y 0.8549 0.7131 0.3549  3 Y 3.36-3.59, 2 Sm 3.36-3.38
Y 0.6773 0.3613 0.1772  5 Y 3.34-3.59, 3 Sm 3.53-3.73, 2 La 3.58
Y 0.3227 0.6387 0.8228  5 Y 3.34-3.59, 3 Sm 3.53-3.73, 2 La 3.58
Y 0.5000 0.0000 0.5000  4 Sm 3.42, 2 Y 3.82
Y 0.1451 0.2869 0.6451  3 Y 3.36-3.59, 2 Sm 3.36-3.38
Y 0.0767 0.1695 0.0766  3 Y 3.23-3.34, 5 Sm 3.55-3.58

Properties
Crystal system: monoclinic

=====

x:
Here is LaSm3Y7 after structural relaxation from Alexandria via LeMat-Bulk. Energies are from PBE.

Lattice parameters (Å, degrees): 8.7352 7.1381 7.1381 120.00 90.00 90.00
Closest atoms and distances in Å follow each position.
Fractional coordinates of all 11 atoms:
La 0.4480 0.3333 0.6667  9 Y 3.55-3.57, 3 Sm 3.59
Sm 0.7848 0.5004 0.4996  5 Y 3.56-3.59, 4 Sm 3.56-3.58, 1 La 3.59
Sm 0.7848 0.5004 0.0008  5 Y 3.56-3.59, 4 Sm 3.56-3.58, 1 La 3.59
Sm 0.7848 0.9992 0.4996  5 Y 3.56-3.59, 4 Sm 3.56-3.58, 1 La 3.59
Y 0.1170 0.1671 0.8329  1 La 3.55, 8 Y 3.55-3.58, 2 Sm 3.56
Y 0.1170 0.1671 0.3342  1 La 3.55, 8 Y 3.55-3.58, 2 Sm 3.56
Y 0.1188 0.6667 0.3333  9 Y 3.53-3.57, 3 Sm 3.57
Y 0.4476 0.8325 0.1675  7 Y 3.53-3.59, 2 La 3.57, 2 Sm 3.59
Y 0.4476 0.3350 0.1675  7 Y 3.53-3.59, 2 La 3.57, 2 Sm 3.59
Y 0.4476 0.8325 0.6650  7 Y 3.53-3.59, 2 La 3.57, 2 Sm 3.59
Y 0.1170 0.6658 0.8329  1 La 3.55, 8 Y 3.55-3.58, 2 Sm 3.56

Properties
Crystal system: trigonal

=====

Which of them is most stable, and which least? Most stable: w; least stable: x.